[1]
First-principles (PBE) data for an optimized crystal structure of Ti2TlB, as listed in the Alexandria database.

* Fermi-level density of states: 5.10 states/eV/f.u.
* energy: -5.648 eV/atom
* distance to the lowest polymorph of the same formula: 287 meV/atom

Geometry as CIF:
```
data_Ti2TlB
_cell_length_a 4.471
_cell_length_b 4.471
_cell_length_c 4.471
_cell_angle_alpha 60.00
_cell_angle_beta 60.00
_cell_angle_gamma 60.00
_symmetry_space_group_name_H-M 'P 1'
_symmetry_Int_Tables_number 1
loop_
_symmetry_equiv_pos_as_xyz
'x,y,z'
loop_
_atom_site_label
_atom_site_fract_x
_atom_site_fract_y
_atom_site_fract_z
Ti1 0.250 0.250 0.250
Ti2 0.750 0.750 0.750
Tl1 0.000 0.000 0.000
B1 0.500 0.500 0.500
```

[2]
First-principles (PBE) data for an optimized crystal structure of Ti2TlB, as listed in the Alexandria database.

* Fermi-level density of states: 3.21 states/eV/f.u.
* energy: -5.935 eV/atom
* distance to the lowest polymorph of the same formula: 0 meV/atom

Geometry as CIF:
```
data_Ti2TlB
_cell_length_a 5.623
_cell_length_b 5.623
_cell_length_c 5.623
_cell_angle_alpha 105.96
_cell_angle_beta 105.96
_cell_angle_gamma 116.75
_symmetry_space_group_name_H-M 'P 1'
_symmetry_Int_Tables_number 1
loop_
_symmetry_equiv_pos_as_xyz
'x,y,z'
loop_
_atom_site_label
_atom_site_fract_x
_atom_site_fract_y
_atom_site_fract_z
Ti1 0.056 0.625 0.931
Ti2 0.375 0.306 0.431
Ti3 0.694 0.125 0.069
Ti4 0.875 0.944 0.569
Tl1 0.250 0.750 0.500
Tl2 0.500 0.500 0.000
B1 0.000 0.000 0.000
B2 0.750 0.250 0.500
```

[3]
First-principles (PBE) data for an optimized crystal structure of TiTl3B, as listed in the Alexandria database.

* Fermi-level density of states: 6.99 states/eV/f.u.
* energy: -3.280 eV/atom
* distance to the lowest polymorph of the same formula: 0 meV/atom

Geometry as CIF:
```
data_TiTl3B
_cell_length_a 4.881
_cell_length_b 4.881
_cell_length_c 4.881
_cell_angle_alpha 90.00
_cell_angle_beta 90.00
_cell_angle_gamma 90.00
_symmetry_space_group_name_H-M 'P 1'
_symmetry_Int_Tables_number 1
loop_
_symmetry_equiv_pos_as_xyz
'x,y,z'
loop_
_atom_site_label
_atom_site_fract_x
_atom_site_fract_y
_atom_site_fract_z
Ti1 0.000 0.000 0.000
Tl1 0.000 0.500 0.500
Tl2 0.500 0.000 0.500
Tl3 0.500 0.500 0.000
B1 0.500 0.500 0.500
```

[4]
First-principles (PBE) data for an optimized crystal structure of TiTl2B, as listed in the Alexandria database.

* Fermi-level density of states: 3.65 states/eV/f.u.
* energy: -4.111 eV/atom
* distance to the lowest polymorph of the same formula: 0 meV/atom

Geometry as CIF:
```
data_TiTl2B
_cell_length_a 6.526
_cell_length_b 6.526
_cell_length_c 6.526
_cell_angle_alpha 96.94
_cell_angle_beta 96.94
_cell_angle_gamma 139.33
_symmetry_space_group_name_H-M 'P 1'
_symmetry_Int_Tables_number 1
loop_
_symmetry_equiv_pos_as_xyz
'x,y,z'
loop_
_atom_site_label
_atom_site_fract_x
_atom_site_fract_y
_atom_site_fract_z
Ti1 0.000 0.000 0.000
Ti2 0.750 0.250 0.500
Tl1 0.247 0.625 0.122
Tl2 0.375 0.497 0.622
Tl3 0.503 0.125 0.878
Tl4 0.875 0.753 0.378
B1 0.250 0.750 0.500
B2 0.500 0.500 0.000
```

[5]
First-principles (PBE) data for an optimized crystal structure of TiTl2B, as listed in the Alexandria database.

* Fermi-level density of states: 7.05 states/eV/f.u.
* energy: -3.613 eV/atom
* distance to the lowest polymorph of the same formula: 498 meV/atom

Geometry as CIF:
```
data_TiTl2B
_cell_length_a 4.861
_cell_length_b 4.861
_cell_length_c 4.861
_cell_angle_alpha 60.00
_cell_angle_beta 60.00
_cell_angle_gamma 60.00
_symmetry_space_group_name_H-M 'P 1'
_symmetry_Int_Tables_number 1
loop_
_symmetry_equiv_pos_as_xyz
'x,y,z'
loop_
_atom_site_label
_atom_site_fract_x
_atom_site_fract_y
_atom_site_fract_z
Ti1 0.000 0.000 0.000
Tl1 0.250 0.250 0.250
Tl2 0.750 0.750 0.750
B1 0.500 0.500 0.500
```

[6]
First-principles (PBE) data for an optimized crystal structure of TiTl2VB, as listed in the Alexandria database.

* Fermi-level density of states: 3.80 states/eV/f.u.
* energy: -4.050 eV/atom

Geometry as CIF:
```
data_TiTl2VB
_cell_length_a 5.429
_cell_length_b 5.429
_cell_length_c 4.258
_cell_angle_alpha 90.00
_cell_angle_beta 90.00
_cell_angle_gamma 90.00
_symmetry_space_group_name_H-M 'P 1'
_symmetry_Int_Tables_number 1
loop_
_symmetry_equiv_pos_as_xyz
'x,y,z'
loop_
_atom_site_label
_atom_site_fract_x
_atom_site_fract_y
_atom_site_fract_z
Ti1 0.000 0.000 0.000
Tl1 0.000 0.500 0.000
Tl2 0.500 0.000 0.000
V1 0.000 0.000 0.500
B1 0.500 0.500 0.500
```

[7]
First-principles (PBE) data for an optimized crystal structure of Zr2TiTlB, as listed in the Alexandria database.

* Fermi-level density of states: 3.55 states/eV/f.u.
* energy: -7.111 eV/atom

Geometry as CIF:
```
data_Zr2TiTlB
_cell_length_a 4.667
_cell_length_b 4.667
_cell_length_c 4.397
_cell_angle_alpha 90.00
_cell_angle_beta 90.00
_cell_angle_gamma 90.00
_symmetry_space_group_name_H-M 'P 1'
_symmetry_Int_Tables_number 1
loop_
_symmetry_equiv_pos_as_xyz
'x,y,z'
loop_
_atom_site_label
_atom_site_fract_x
_atom_site_fract_y
_atom_site_fract_z
Zr1 0.000 0.500 0.000
Zr2 0.500 0.000 0.000
Ti1 0.000 0.000 0.500
Tl1 0.500 0.500 0.500
B1 0.000 0.000 0.000
```

[8]
First-principles (PBE) data for an optimized crystal structure of TmTiB4, as listed in the Alexandria database.

* Fermi-level density of states: 2.34 states/eV/f.u.
* energy: -7.229 eV/atom

Geometry as CIF:
```
data_TmTiB4
_cell_length_a 6.033
_cell_length_b 11.674
_cell_length_c 3.534
_cell_angle_alpha 90.00
_cell_angle_beta 90.00
_cell_angle_gamma 90.00
_symmetry_space_group_name_H-M 'P 1'
_symmetry_Int_Tables_number 1
loop_
_symmetry_equiv_pos_as_xyz
'x,y,z'
loop_
_atom_site_label
_atom_site_fract_x
_atom_site_fract_y
_atom_site_fract_z
Tm1 0.126 0.152 0.000
Tm2 0.374 0.652 0.000
Tm3 0.626 0.348 0.000
Tm4 0.874 0.848 0.000
Ti1 0.132 0.414 0.000
Ti2 0.368 0.914 0.000
Ti3 0.632 0.086 0.000
Ti4 0.868 0.586 0.000
B1 0.019 0.694 0.500
B2 0.115 0.548 0.500
B3 0.132 0.968 0.500
B4 0.204 0.814 0.500
B5 0.296 0.314 0.500
B6 0.368 0.468 0.500
B7 0.385 0.048 0.500
B8 0.481 0.194 0.500
B9 0.519 0.806 0.500
B10 0.615 0.952 0.500
B11 0.632 0.532 0.500
B12 0.704 0.686 0.500
B13 0.796 0.186 0.500
B14 0.868 0.032 0.500
B15 0.885 0.452 0.500
B16 0.981 0.306 0.500
```

[9]
First-principles (PBE) data for an optimized crystal structure of UTi2B, as listed in the Alexandria database.

* Fermi-level density of states: 5.54 states/eV/f.u.
* energy: -8.048 eV/atom

Geometry as CIF:
```
data_UTi2B
_cell_length_a 4.819
_cell_length_b 4.819
_cell_length_c 4.819
_cell_angle_alpha 50.78
_cell_angle_beta 50.78
_cell_angle_gamma 50.78
_symmetry_space_group_name_H-M 'P 1'
_symmetry_Int_Tables_number 1
loop_
_symmetry_equiv_pos_as_xyz
'x,y,z'
loop_
_atom_site_label
_atom_site_fract_x
_atom_site_fract_y
_atom_site_fract_z
U1 0.000 0.000 0.000
Ti1 0.215 0.215 0.215
Ti2 0.785 0.785 0.785
B1 0.500 0.500 0.500
```

[10]
First-principles (PBE) data for an optimized crystal structure of Ti4V2B, as listed in the Alexandria database.

* Fermi-level density of states: 7.88 states/eV/f.u.
* energy: -7.641 eV/atom

Geometry as CIF:
```
data_Ti4V2B
_cell_length_a 6.679
_cell_length_b 6.679
_cell_length_c 6.679
_cell_angle_alpha 141.95
_cell_angle_beta 141.95
_cell_angle_gamma 54.90
_symmetry_space_group_name_H-M 'P 1'
_symmetry_Int_Tables_number 1
loop_
_symmetry_equiv_pos_as_xyz
'x,y,z'
loop_
_atom_site_label
_atom_site_fract_x
_atom_site_fract_y
_atom_site_fract_z
Ti1 0.000 0.500 0.500
Ti2 0.184 0.184 0.000
Ti3 0.500 0.000 0.500
Ti4 0.816 0.816 0.000
V1 0.393 0.393 0.000
V2 0.607 0.607 0.000
B1 0.000 0.000 0.000
```

[11]
First-principles (PBE) data for an optimized crystal structure of TiVB3, as listed in the Alexandria database.

* Fermi-level density of states: 3.98 states/eV/f.u.
* energy: -6.731 eV/atom
* distance to the lowest polymorph of the same formula: 1636 meV/atom

Geometry as CIF:
```
data_TiVB3
_cell_length_a 3.854
_cell_length_b 3.854
_cell_length_c 3.854
_cell_angle_alpha 90.00
_cell_angle_beta 90.00
_cell_angle_gamma 90.00
_symmetry_space_group_name_H-M 'P 1'
_symmetry_Int_Tables_number 1
loop_
_symmetry_equiv_pos_as_xyz
'x,y,z'
loop_
_atom_site_label
_atom_site_fract_x
_atom_site_fract_y
_atom_site_fract_z
Ti1 0.000 0.000 0.000
V1 0.500 0.500 0.500
B1 0.000 0.500 0.500
B2 0.500 0.000 0.500
B3 0.500 0.500 0.000
```

[12]
First-principles (PBE) data for an optimized crystal structure of TiVB3, as listed in the Alexandria database.

* Fermi-level density of states: 6.12 states/eV/f.u.
* energy: -6.116 eV/atom
* distance to the lowest polymorph of the same formula: 2250 meV/atom

Geometry as CIF:
```
data_TiVB3
_cell_length_a 3.953
_cell_length_b 3.953
_cell_length_c 3.953
_cell_angle_alpha 90.00
_cell_angle_beta 90.00
_cell_angle_gamma 90.00
_symmetry_space_group_name_H-M 'P 1'
_symmetry_Int_Tables_number 1
loop_
_symmetry_equiv_pos_as_xyz
'x,y,z'
loop_
_atom_site_label
_atom_site_fract_x
_atom_site_fract_y
_atom_site_fract_z
Ti1 0.000 0.000 0.000
V1 0.500 0.500 0.500
B1 0.000 0.000 0.500
B2 0.000 0.500 0.000
B3 0.500 0.000 0.000
```

[13]
First-principles (PBE) data for an optimized crystal structure of TiV5B2, as listed in the Alexandria database.

* Fermi-level density of states: 8.72 states/eV/f.u.
* energy: -8.599 eV/atom

Geometry as CIF:
```
data_TiV5B2
_cell_length_a 5.740
_cell_length_b 5.740
_cell_length_c 5.740
_cell_angle_alpha 147.48
_cell_angle_beta 103.63
_cell_angle_gamma 85.48
_symmetry_space_group_name_H-M 'P 1'
_symmetry_Int_Tables_number 1
loop_
_symmetry_equiv_pos_as_xyz
'x,y,z'
loop_
_atom_site_label
_atom_site_fract_x
_atom_site_fract_y
_atom_site_fract_z
Ti1 0.000 0.000 0.000
V1 0.150 0.339 0.811
V2 0.472 0.661 0.811
V3 0.500 0.000 0.500
V4 0.528 0.339 0.189
V5 0.850 0.661 0.189
B1 0.220 0.720 0.500
B2 0.780 0.280 0.500
```

[14]
First-principles (PBE) data for an optimized crystal structure of TiV6B4, as listed in the Alexandria database.

* Fermi-level density of states: 9.89 states/eV/f.u.
* energy: -8.290 eV/atom

Geometry as CIF:
```
data_TiV6B4
_cell_length_a 5.635
_cell_length_b 5.635
_cell_length_c 5.635
_cell_angle_alpha 118.83
_cell_angle_beta 118.83
_cell_angle_gamma 92.05
_symmetry_space_group_name_H-M 'P 1'
_symmetry_Int_Tables_number 1
loop_
_symmetry_equiv_pos_as_xyz
'x,y,z'
loop_
_atom_site_label
_atom_site_fract_x
_atom_site_fract_y
_atom_site_fract_z
Ti1 0.000 0.000 0.000
V1 0.000 0.500 0.500
V2 0.166 0.166 0.691
V3 0.475 0.475 0.309
V4 0.500 0.000 0.500
V5 0.525 0.834 0.000
V6 0.834 0.525 0.000
B1 0.197 0.633 0.000
B2 0.367 0.367 0.564
B3 0.633 0.197 0.000
B4 0.803 0.803 0.436
```

[15]
First-principles (PBE) data for an optimized crystal structure of TiV3B, as listed in the Alexandria database.

* Fermi-level density of states: 4.10 states/eV/f.u.
* energy: -8.354 eV/atom
* distance to the lowest polymorph of the same formula: 0 meV/atom

Geometry as CIF:
```
data_TiV3B
_cell_length_a 4.086
_cell_length_b 4.086
_cell_length_c 4.086
_cell_angle_alpha 90.00
_cell_angle_beta 90.00
_cell_angle_gamma 90.00
_symmetry_space_group_name_H-M 'P 1'
_symmetry_Int_Tables_number 1
loop_
_symmetry_equiv_pos_as_xyz
'x,y,z'
loop_
_atom_site_label
_atom_site_fract_x
_atom_site_fract_y
_atom_site_fract_z
Ti1 0.000 0.000 0.000
V1 0.000 0.500 0.500
V2 0.500 0.000 0.500
V3 0.500 0.500 0.000
B1 0.500 0.500 0.500
```

[16]
First-principles (PBE) data for an optimized crystal structure of Ti2V4B, as listed in the Alexandria database.

* Fermi-level density of states: 9.88 states/eV/f.u.
* energy: -8.070 eV/atom

Geometry as CIF:
```
data_Ti2V4B
_cell_length_a 7.466
_cell_length_b 7.466
_cell_length_c 7.466
_cell_angle_alpha 149.63
_cell_angle_beta 149.63
_cell_angle_gamma 43.48
_symmetry_space_group_name_H-M 'P 1'
_symmetry_Int_Tables_number 1
loop_
_symmetry_equiv_pos_as_xyz
'x,y,z'
loop_
_atom_site_label
_atom_site_fract_x
_atom_site_fract_y
_atom_site_fract_z
Ti1 0.152 0.152 0.000
Ti2 0.848 0.848 0.000
V1 0.000 0.500 0.500
V2 0.352 0.352 0.000
V3 0.500 0.000 0.500
V4 0.648 0.648 0.000
B1 0.500 0.500 0.000
```

[17]
First-principles (PBE) data for an optimized crystal structure of TiVB2, as listed in the Alexandria database.

* Fermi-level density of states: 2.00 states/eV/f.u.
* energy: -7.987 eV/atom
* distance to the lowest polymorph of the same formula: 438 meV/atom

Geometry as CIF:
```
data_TiVB2
_cell_length_a 5.393
_cell_length_b 5.393
_cell_length_c 5.393
_cell_angle_alpha 33.52
_cell_angle_beta 33.52
_cell_angle_gamma 33.52
_symmetry_space_group_name_H-M 'P 1'
_symmetry_Int_Tables_number 1
loop_
_symmetry_equiv_pos_as_xyz
'x,y,z'
loop_
_atom_site_label
_atom_site_fract_x
_atom_site_fract_y
_atom_site_fract_z
Ti1 0.000 0.000 0.000
V1 0.500 0.500 0.500
B1 0.245 0.245 0.245
B2 0.755 0.755 0.755
```

[18]
First-principles (PBE) data for an optimized crystal structure of TiVB2, as listed in the Alexandria database.

* Fermi-level density of states: 2.70 states/eV/f.u.
* energy: -6.896 eV/atom
* distance to the lowest polymorph of the same formula: 1530 meV/atom

Geometry as CIF:
```
data_TiVB2
_cell_length_a 6.220
_cell_length_b 6.220
_cell_length_c 6.220
_cell_angle_alpha 136.75
_cell_angle_beta 136.75
_cell_angle_gamma 62.83
_symmetry_space_group_name_H-M 'P 1'
_symmetry_Int_Tables_number 1
loop_
_symmetry_equiv_pos_as_xyz
'x,y,z'
loop_
_atom_site_label
_atom_site_fract_x
_atom_site_fract_y
_atom_site_fract_z
Ti1 0.000 0.000 0.000
Ti2 0.750 0.250 0.500
V1 0.250 0.750 0.500
V2 0.500 0.500 0.000
B1 0.154 0.625 0.029
B2 0.375 0.404 0.529
B3 0.596 0.125 0.971
B4 0.875 0.846 0.471
```

[19]
First-principles (PBE) data for an optimized crystal structure of TiVB2, as listed in the Alexandria database.

* Fermi-level density of states: 4.82 states/eV/f.u.
* energy: -7.550 eV/atom
* distance to the lowest polymorph of the same formula: 875 meV/atom

Geometry as CIF:
```
data_TiVB2
_cell_length_a 3.852
_cell_length_b 3.852
_cell_length_c 3.852
_cell_angle_alpha 60.00
_cell_angle_beta 60.00
_cell_angle_gamma 60.00
_symmetry_space_group_name_H-M 'P 1'
_symmetry_Int_Tables_number 1
loop_
_symmetry_equiv_pos_as_xyz
'x,y,z'
loop_
_atom_site_label
_atom_site_fract_x
_atom_site_fract_y
_atom_site_fract_z
Ti1 0.000 0.000 0.000
V1 0.500 0.500 0.500
B1 0.250 0.250 0.250
B2 0.750 0.750 0.750
```

[20]
First-principles (PBE) data for an optimized crystal structure of Ti3VB4, as listed in the Alexandria database.

* Fermi-level density of states: 4.00 states/eV/f.u.
* energy: -7.897 eV/atom

Geometry as CIF:
```
data_Ti3VB4
_cell_length_a 6.602
_cell_length_b 6.602
_cell_length_c 6.602
_cell_angle_alpha 151.95
_cell_angle_beta 137.99
_cell_angle_gamma 51.27
_symmetry_space_group_name_H-M 'P 1'
_symmetry_Int_Tables_number 1
loop_
_symmetry_equiv_pos_as_xyz
'x,y,z'
loop_
_atom_site_label
_atom_site_fract_x
_atom_site_fract_y
_atom_site_fract_z
Ti1 0.000 0.000 0.000
Ti2 0.310 0.810 0.500
Ti3 0.690 0.190 0.500
V1 0.500 0.500 0.000
B1 0.046 0.370 0.676
B2 0.306 0.630 0.676
B3 0.694 0.370 0.324
B4 0.954 0.630 0.324
```